SrNbIr3 | GGA-PBE | relaxed

Computed properties:
total magnetic moment: 0.001 Bohr magnetons per cell
excess energy over the best structure of this formula in the dataset: 2061 meV per atom
DFT formation energy: 2666 meV/atom
SG: Pm-3m

Structure (CIF):
```
data_SrNbIr3
_chemical_formula_sum 'Sr1 Nb1 Ir3'
_space_group_name_H-M_alt 'P 1'
_space_group_IT_number 1
_cell_length_a 4.813
_cell_length_b 4.813
_cell_length_c 4.813
_cell_angle_alpha 90.00
_cell_angle_beta 90.00
_cell_angle_gamma 90.00
loop_
_space_group_symop_operation_xyz
'x,y,z'
loop_
_atom_site_label
_atom_site_fract_x
_atom_site_fract_y
_atom_site_fract_z
Sr1 0.000 0.000 0.000
Nb1 0.500 0.500 0.500
Ir1 0.000 0.500 0.000
Ir2 0.000 0.000 0.500
Ir3 0.500 0.000 0.000
```